Entry 1:
## Pm2PaSn (PBE-GGA)

Data for a geometry-optimized Pm2PaSn structure.

Calculated values
* excess energy over the best structure of this formula in the dataset: 299 meV/atom
* volume: 28.7 Å³ per atom
* final energy: -0.4155 Ry per atom
* energy relative to the elements: 0.096 eV per atom
* Fermi-level density of states: 1.45 states/eV/atom
* total magnetization: 0.0 μB per cell
* space group: R-3m

POSCAR file:
```
Pm2PaSn
1.0
-2.861 -1.548 0.649
-0.138 -3.314 -0.037
1.792 -1.866 11.928
Pm Pa Sn
2 1 1
Direct
0.909 0.909 0.272
0.091 0.091 0.728
0.000 0.000 0.000
0.500 0.500 0.500
```

=====

Entry 2:
## Li4Re2O9 (PBE-GGA)

Data for a geometry-optimized Li4Re2O9 structure.

Calculated values
* volume: 10.9 Å³ per atom
* final energy: -0.5139 Ry per atom
* energy relative to the elements, uncorrected: -42.59 kcal/mol of atoms
* Fermi-level density of states: 0.00 states/eV/atom
* total magnetization: 0.0 μB per cell
* space group: C2/c

POSCAR file:
```
Li4Re2O9
1.0
5.153 0.001 0.011
2.576 4.503 0.105
-0.030 0.167 14.042
Li O Re
8 18 4
Direct
0.665 0.666 0.509
0.672 0.666 0.788
0.328 0.334 0.212
0.335 0.334 0.491
0.662 0.666 0.288
0.669 0.666 0.009
0.338 0.334 0.712
0.331 0.334 0.991
0.689 0.295 0.589
0.984 0.321 0.415
0.683 0.015 0.087
0.302 0.015 0.587
0.016 0.679 0.585
0.016 0.295 0.089
0.984 0.705 0.911
0.003 0.275 0.751
0.695 0.321 0.915
0.273 0.000 0.250
0.727 0.000 0.750
0.698 0.985 0.413
0.311 0.705 0.411
0.722 0.275 0.251
0.997 0.725 0.249
0.278 0.725 0.749
0.317 0.985 0.913
0.305 0.679 0.085
0.992 0.018 0.857
0.990 0.018 0.357
0.010 0.982 0.643
0.008 0.982 0.143
```

=====

Entry 3:
## Nd2ErSn (PBE-GGA)

Data for a geometry-optimized Nd2ErSn structure.

Calculated values
* excess energy over the best structure of this formula in the dataset: 0 meV/atom
* volume: 29.4 Å³ per atom
* final energy: -0.3641 Ry per atom
* energy relative to the elements: -0.428 eV per atom
* Fermi-level density of states: 1.00 states/eV/atom
* total magnetization: 0.0 μB per cell
* space group: P4/mmm

POSCAR file:
```
Nd2ErSn
1.0
-0.128 0.901 4.872
4.714 -1.164 0.339
1.206 4.643 -0.826
Nd Sn Er
2 1 1
Direct
0.000 0.500 0.000
0.000 0.000 0.500
0.500 0.000 0.000
0.500 0.500 0.500
```

=====

Entry 4:
## Sc2SiSe (PBE-GGA)

Data for a geometry-optimized Sc2SiSe structure.

Calculated values
* excess energy over the best structure of this formula in the dataset: 1109 meV/atom
* volume: 19.1 Å³ per atom
* final energy: -0.4067 Ry per atom
* energy relative to the elements, uncorrected: -3.25 kcal/mol of atoms
* Fermi-level density of states: 0.66 states/eV/atom
* total magnetization: 0.0 μB per cell
* space group: F-43m

POSCAR file:
```
Sc2SiSe
1.0
-0.906 2.767 -3.772
1.871 -1.076 -4.249
-2.807 -1.594 -3.505
Sc Si Se
2 1 1
Direct
0.000 0.000 0.000
0.250 0.250 0.250
0.750 0.750 0.750
0.500 0.500 0.500
```

=====

Entry 5:
## Cs2Mg2US6 (PBE-GGA)

Data for a geometry-optimized Cs2Mg2US6 structure.

Calculated values
* volume: 32.5 Å³ per atom
* final energy: -0.3597 Ry per atom
* energy relative to the elements, uncorrected: -27.02 kcal/mol of atoms
* total magnetization: 0.0 μB per cell
* space group: R-3m

POSCAR file:
```
Cs2Mg2US6
1.0
-5.680 -3.606 3.457
-4.071 -5.138 -3.773
1.312 -8.078 2.004
Cs S Mg U
2 6 2 1
Direct
0.214 0.214 0.359
0.786 0.786 0.641
0.235 0.772 0.220
0.772 0.772 0.220
0.228 0.228 0.780
0.228 0.765 0.780
0.772 0.235 0.220
0.765 0.228 0.780
0.602 0.602 0.194
0.398 0.398 0.806
0.000 0.000 0.000
```

=====

Entry 6:
## BePt (PBE-GGA)

Data for a geometry-optimized BePt structure.

Calculated values
* volume: 12.0 Å³ per atom
* final energy: -0.4055 Ry per atom
* energy relative to the elements: -0.633 eV per atom
* Fermi-level density of states: 0.20 states/eV/atom
* total magnetization: 0.0 μB per cell
* space group: Cm

POSCAR file:
```
BePt
1.0
1.415 4.244 0.007
-1.415 4.244 0.007
0.000 1.275 6.013
Be Pt
3 3
Direct
0.941 0.941 0.027
0.717 0.717 0.639
0.615 0.615 0.266
0.332 0.332 0.335
0.004 0.004 0.628
0.225 0.225 0.939
```

=====

Entry 7:
## DyYHo6Er2 (PBE-GGA)

Data for a geometry-optimized DyYHo6Er2 structure.

Calculated values
* volume: 31.6 Å³ per atom
* final energy: -0.3415 Ry per atom
* energy relative to the elements: 0.119 eV per atom
* Fermi-level density of states: 1.43 states/eV/atom
* total magnetization: 0.0 μB per cell
* space group: C2/c

POSCAR file:
```
DyYHo6Er2
1.0
-4.441 6.685 -5.050
-5.201 0.975 6.943
7.639 4.225 -0.046
Er Ho Dy Y
4 12 2 2
Direct
0.956 0.695 0.804
0.456 0.804 0.695
0.044 0.305 0.196
0.544 0.196 0.305
0.315 0.979 0.430
0.185 0.570 0.021
0.685 0.021 0.570
0.444 0.249 0.874
0.056 0.126 0.751
0.556 0.751 0.126
0.120 0.710 0.498
0.944 0.874 0.249
0.880 0.290 0.502
0.380 0.502 0.290
0.620 0.498 0.710
0.815 0.430 0.979
0.750 0.591 0.409
0.250 0.409 0.591
0.750 0.023 0.977
0.250 0.977 0.023
```

=====

Entry 8:
## Tm2GaPd6 (PBE-GGA)

Data for a geometry-optimized Tm2GaPd6 structure.

Calculated values
* volume: 19.2 Å³ per atom
* final energy: -0.3966 Ry per atom
* energy relative to the elements: -0.604 eV per atom
* Fermi-level density of states: 0.38 states/eV/atom
* total magnetization: 0.0 μB per cell
* space group: C2/m

POSCAR file:
```
Tm2GaPd6
1.0
3.505 0.000 -0.137
0.000 7.513 0.000
-1.504 -3.757 6.626
Pd Tm Ga
6 2 1
Direct
0.835 0.631 0.667
0.500 0.237 0.000
0.165 0.369 0.333
0.165 0.963 0.333
0.835 0.037 0.667
0.500 0.763 0.000
0.351 0.348 0.695
0.649 0.652 0.305
0.000 0.000 0.000
```

=====

Entry 9:
## NiMoSe (PBE-GGA)

Data for a geometry-optimized NiMoSe structure.

Calculated values
* excess energy over the best structure of this formula in the dataset: 0 meV/atom
* volume: 14.3 Å³ per atom
* final energy: -0.4853 Ry per atom
* energy relative to the elements, uncorrected: 2.23 kcal/mol of atoms
* Fermi-level density of states: 0.56 states/eV/atom
* total magnetization: 0.0 μB per cell
* space group: I4mm

POSCAR file:
```
NiMoSe
1.0
4.979 -0.007 0.008
4.020 2.937 0.007
0.959 0.313 2.928
Se Mo Ni
1 1 1
Direct
0.669 0.669 0.331
0.002 0.002 0.998
0.329 0.329 0.671
```

=====

Entry 10:
## MnAs2WS (PBE-GGA)

Data for a geometry-optimized MnAs2WS structure.

Calculated values
* volume: 20.8 Å³ per atom
* final energy: -0.4394 Ry per atom
* energy relative to the elements, uncorrected: 26.11 kcal/mol of atoms
* Fermi-level density of states: 0.62 states/eV/atom
* total magnetization: 3.9 μB per cell
* space group: P4/mmm

POSCAR file:
```
MnAs2WS
1.0
-2.288 -1.384 4.087
-1.615 -3.475 -2.081
3.917 -2.605 1.311
As S W Mn
2 1 1 1
Direct
0.000 0.000 0.500
0.500 0.000 0.000
0.000 0.000 0.000
0.000 0.500 0.000
0.500 0.500 0.500
```

=====

Entry 11:
## NdCoP2 (PBE-GGA)

Data for a geometry-optimized NdCoP2 structure.

Calculated values
* volume: 17.7 Å³ per atom
* final energy: -0.4846 Ry per atom
* energy relative to the elements: -0.919 eV per atom
* Fermi-level density of states: 0.62 states/eV/atom
* total magnetization: 0.4 μB per cell
* space group: I-4m2

POSCAR file:
```
NdCoP2
1.0
-3.879 -0.456 -0.244
0.513 -3.121 -2.304
1.770 -0.943 4.992
Co P Nd
1 2 1
Direct
0.471 0.631 0.728
0.855 0.515 0.497
0.587 0.247 0.960
0.221 0.881 0.228
```

=====

Entry 12:
## LaPm2Mg2 (PBE-GGA)

Data for a geometry-optimized LaPm2Mg2 structure.

Calculated values
* volume: 31.0 Å³ per atom
* final energy: -0.2649 Ry per atom
* energy relative to the elements: -0.080 eV per atom
* Fermi-level density of states: 1.13 states/eV/atom
* total magnetization: 0.0 μB per cell
* space group: P2_1/m

POSCAR file:
```
LaPm2Mg2
1.0
-0.958 -3.666 0.819
5.310 -1.057 1.480
-2.506 5.618 12.999
La Pm Mg
2 4 4
Direct
0.850 0.750 0.702
0.150 0.250 0.298
0.046 0.750 0.092
0.954 0.250 0.908
0.237 0.750 0.474
0.763 0.250 0.526
0.641 0.750 0.281
0.359 0.250 0.719
0.550 0.250 0.100
0.450 0.750 0.900
```

=====

Question: Among the records above, which one has the highest final energy?
Answer: LaPm2Mg2

=====

Question: What is the volume in the twelfth record?
Answer: 31.0 Å³ per atom